# KSrCd2Rh PBE optimized geometry
data_KSrCd2Rh
_chemical_formula_sum 'K1 Sr1 Cd2 Rh1'
_symmetry_space_group_name_H-M 'P 4/m m m'
_symmetry_Int_Tables_number 123
_symmetry_space_group_name_Hall '-P 4 2'
_cell_length_a 6.020
_cell_length_b 6.020
_cell_length_c 6.740
_cell_angle_alpha 90.00
_cell_angle_beta 90.00
_cell_angle_gamma 90.00
loop_
_atom_site_label
_atom_site_type_symbol
_atom_site_fract_x
_atom_site_fract_y
_atom_site_fract_z
_atom_site_occupancy
K1 K 0.000 0.000 0.000 1
Sr1 Sr 0.000 0.000 0.500 1
Cd1 Cd 0.000 0.500 0.500 1
Rh1 Rh 0.500 0.500 0.000 1
# Formation enthalpy at 0 K ... 1.3274 eV/atom
# Distance to the lowest polymorph of the same formula ... 1461 meV per atom
# Electronic total energy ... -1.065 eV per atom